VASP calculation (PBE) on crystalline Cd3SnPd at its relaxed geometry.

The structure belongs to space group C2/m (No. 12); the cell edges are 10.757, 8.133 and 7.133 Å and the angles 90.00°, 128.98° and 90.00°. The inequivalent atoms are Cd at (0.056, 0.000, 0.249), Cd at (0.209, 0.182, 0.745), Sn at (0.086, 0.500, 0.376) and Pd at (0.233, 0.500, 0.870).

For the energy relative to the elements, the calculation gives -0.10 eV/atom. The offset from the most stable computed form is 4.55 kJ/mol of atoms. As for the total magnetic moment: 0.00 μB per atom.

VASP calculation (PBE) on crystalline CdSn3Pd12 at its relaxed geometry.

The structure belongs to space group P4/mmm (No. 123); the cell edges are 4.039, 4.039 and 16.131 Å and the angles 90.00°, 90.00° and 90.00°. The inequivalent atoms are Cd at (0.000, 0.000, 0.000), Sn at (0.000, 0.000, 0.248), Sn at (0.000, 0.000, 0.500), Pd at (0.000, 0.500, 0.127), Pd at (0.000, 0.500, 0.375), Pd at (0.500, 0.500, 0.000), Pd at (0.500, 0.500, 0.252) and Pd at (0.500, 0.500, 0.500).

For the energy relative to the elements, the calculation gives -0.44 eV/atom. As for the total magnetic moment: 0.00 μB per atom.